DFT (PBE-GGA) results for a relaxed structure of PaIn2Sn.

abc: 4.7920 4.5685 4.5685
angles: 90.00 90.00 90.00
With the nearest neighbours (Å) after each atom.
Positions (direct):
Pa  0.5000  0.5000  0.5000  4 Sn 3.23, 8 In 3.31
Sn  0.5000  0.0000  0.0000  4 Pa 3.23, 8 In 3.31
In  0.0000  0.0000  0.5000  4 In 3.23, 4 Pa 3.31, 4 Sn 3.31
In  0.0000  0.5000  0.0000  4 In 3.23, 4 Sn 3.31, 4 Pa 3.31

Properties
Symmetry: No. 123
Total magnetic moment, μB per cell: 0.00
Density of states at the Fermi level, states/eV per cell: 5.06
Raw total energy, eV/atom: -4.955
ΔE_f, eV per atom: -0.211